Computed, not measured: SrTe3Mo at its PBEsol-relaxed geometry at the meta-GGA SCAN level of DFT.

```
data_SrTe3Mo
_chemical_formula_sum 'Sr1 Te3 Mo1'
_space_group_name_H-M_alt 'P m -3 m'
_space_group_IT_number 221
_space_group_name_Hall '-P 4 2 3'
_cell_length_a 5.347
_cell_length_b 5.347
_cell_length_c 5.347
_cell_angle_alpha 90.00
_cell_angle_beta 90.00
_cell_angle_gamma 90.00
loop_
_atom_site_label
_atom_site_fract_x
_atom_site_fract_y
_atom_site_fract_z
Sr1 0.000 0.000 0.000
Te1 0.000 0.500 0.500
Mo1 0.500 0.500 0.500
```

Properties
raw formation energy: -0.346 eV per atom
total DFT energy (no corrections): -34.13 eV/atom